An optimized crystal structure of ZnWAu2, computed with PBE-GGA.

Cell and atoms, written as extended XYZ:
```
4
Lattice="0.000 3.219 3.219 3.219 0.000 3.219 3.219 3.219 0.000" Properties=species:S:1:pos:R:3 pbc="T T T"
Zn 0.000 0.000 0.000
W 4.829 4.829 4.829
Au 1.610 1.610 1.610
Au 3.219 3.219 3.219
```

Results
energy relative to the elements = 0.526 eV/atom
energy = -18.7 eV per cell
theoretical density = 16.01 g/cm3


An optimized crystal structure of Mo2AsP, computed with PBE-GGA.

Cell and atoms, written as extended XYZ:
```
4
Lattice="3.229 0.000 0.000 0.000 3.229 0.000 0.000 0.000 5.752" Properties=species:S:1:pos:R:3 pbc="T T T"
Mo 0.000 0.000 0.000
Mo 1.614 1.614 1.907
As 1.614 1.614 4.611
P 0.000 0.000 2.874
```

Results
energy relative to the elements = -0.290 eV/atom
excess energy over the best structure of this formula in the dataset = 117 meV/atom
energy = -32.9 eV per cell
theoretical density = 8.25 g/cm3


An optimized crystal structure of Tl2SiMoCl, computed with PBE-GGA.

Cell and atoms, written as extended XYZ:
```
5
Lattice="5.581 0.000 0.000 0.000 5.581 0.000 0.000 0.000 4.867" Properties=species:S:1:pos:R:3 pbc="T T T"
Tl 0.000 2.791 0.000
Tl 2.791 0.000 0.000
Si 0.000 0.000 0.000
Mo 0.000 0.000 2.434
Cl 2.791 2.791 2.434
```

Results
energy = -19.7 eV per cell
uncorrected formation energy = 0.62 eV/atom
theoretical density = 6.22 g/cm3


An optimized crystal structure of HgSI2, computed with PBE-GGA.

Cell and atoms, written as extended XYZ:
```
4
Lattice="0.000 3.836 3.836 3.836 0.000 3.836 3.836 3.836 0.000" Properties=species:S:1:pos:R:3 pbc="T T T"
Hg 0.000 0.000 0.000
S 3.836 3.836 3.836
I 1.918 1.918 1.918
I 5.754 5.754 5.754
```

Results
excess energy over the best structure of this formula in the dataset = 516 meV/atom
energy = -5.1 eV per cell
uncorrected formation energy = 0.62 eV/atom
theoretical density = 7.15 g/cm3